(1)
Below is an optimized crystal structure of MnFe2AsI, with properties calculated at the PBE level.

Results
raw formation energy: 680 meV per atom
VASP energy: -5.7788 eV/atom

```
data_MnFe2AsI
_chemical_formula_sum 'Mn1 Fe2 As1 I1'
_cell_length_a 4.6683
_cell_length_b 4.6683
_cell_length_c 5.0098
_cell_angle_alpha 90.00
_cell_angle_beta 90.00
_cell_angle_gamma 90.00
_symmetry_space_group_name_H-M 'P 4/m m m'
_symmetry_Int_Tables_number 123
_symmetry_space_group_name_Hall '-P 4 2'
loop_
_atom_site_label
_atom_site_type_symbol
_atom_site_fract_x
_atom_site_fract_y
_atom_site_fract_z
Mn1 Mn 0.0000 0.0000 0.0000
Fe1 Fe 0.0000 0.5000 0.5000
As1 As 0.0000 0.0000 0.5000
I1 I 0.5000 0.5000 0.0000
```

(2)
Below is an optimized crystal structure of CrAuBr2, with properties calculated at the PBE level.

Results
raw formation energy: 143 meV per atom
VASP energy: -3.9191 eV/atom

```
data_CrAuBr2
_chemical_formula_sum 'Cr2 Au2 Br4'
_cell_length_a 7.3638
_cell_length_b 7.7755
_cell_length_c 5.0769
_cell_angle_alpha 90.00
_cell_angle_beta 131.13
_cell_angle_gamma 90.00
_symmetry_space_group_name_H-M 'C 1 2/m 1'
_symmetry_Int_Tables_number 12
loop_
_symmetry_equiv_pos_as_xyz
'x,y,z'
'-x,-y,-z'
'-x,y,-z'
'x,-y,z'
'x+1/2,y+1/2,z'
'-x+1/2,-y+1/2,-z'
'-x+1/2,y+1/2,-z'
'x+1/2,-y+1/2,z'
loop_
_atom_site_label
_atom_site_type_symbol
_atom_site_fract_x
_atom_site_fract_y
_atom_site_fract_z
Cr1 Cr 0.0000 0.0000 0.0000
Au1 Au 0.0000 0.5000 0.0000
Br1 Br 0.2500 0.2500 0.5000
```

(3)
Below is an optimized crystal structure of PmHfAs2O, with properties calculated at the PBE level.

Results
raw formation energy: -1584 meV per atom
VASP energy: -7.3765 eV/atom

```
data_PmHfAs2O
_chemical_formula_sum 'Pm2 Hf2 As4 O2'
_cell_length_a 3.8423
_cell_length_b 3.8423
_cell_length_c 14.4466
_cell_angle_alpha 90.00
_cell_angle_beta 90.00
_cell_angle_gamma 90.00
_symmetry_space_group_name_H-M 'P 4/n m m'
_symmetry_Int_Tables_number 129
loop_
_symmetry_equiv_pos_as_xyz
'x,y,z'
'-x,-y,-z'
'-y+1/2,x,z'
'y+1/2,-x,-z'
'-x+1/2,-y+1/2,z'
'x+1/2,y+1/2,-z'
'y,-x+1/2,z'
'-y,x+1/2,-z'
'x+1/2,-y,-z'
'-x+1/2,y,z'
'-y,-x,-z'
'y,x,z'
'-x,y+1/2,-z'
'x,-y+1/2,z'
'y+1/2,x+1/2,-z'
'-y+1/2,-x+1/2,z'
loop_
_atom_site_label
_atom_site_type_symbol
_atom_site_fract_x
_atom_site_fract_y
_atom_site_fract_z
Pm1 Pm 0.2500 0.2500 0.0859
Hf1 Hf 0.2500 0.2500 0.5925
As1 As 0.2500 0.2500 0.3990
As2 As 0.2500 0.2500 0.7776
O1 O 0.2500 0.7500 0.0000
```

(4)
Below is an optimized crystal structure of Ga2CoAu, with properties calculated at the PBE level.

Results
VASP energy: -3.9780 eV/atom

```
data_Ga2CoAu
_chemical_formula_sum 'Ga8 Co4 Au4'
_cell_length_a 6.8954
_cell_length_b 6.8954
_cell_length_c 5.4562
_cell_angle_alpha 90.00
_cell_angle_beta 90.00
_cell_angle_gamma 90.00
_symmetry_space_group_name_H-M 'I -4 2 d'
_symmetry_Int_Tables_number 122
_symmetry_space_group_name_Hall 'I -4 2bw'
loop_
_atom_site_label
_atom_site_type_symbol
_atom_site_fract_x
_atom_site_fract_y
_atom_site_fract_z
Ga1 Ga 0.2191 0.2500 0.1250
Co1 Co 0.0000 0.0000 0.0000
Au1 Au 0.0000 0.0000 0.5000
```

(5)
Below is an optimized crystal structure of NaCaPuSn, with properties calculated at the PBE level.

Results
VASP energy: -5.5197 eV/atom

```
data_NaCaPuSn
_chemical_formula_sum 'Na4 Ca4 Pu4 Sn4'
_cell_length_a 7.7580
_cell_length_b 7.7580
_cell_length_c 7.7580
_cell_angle_alpha 90.00
_cell_angle_beta 90.00
_cell_angle_gamma 90.00
_symmetry_space_group_name_H-M 'F -4 3 m'
_symmetry_Int_Tables_number 216
_symmetry_space_group_name_Hall 'F -4 2 3'
loop_
_atom_site_label
_atom_site_type_symbol
_atom_site_fract_x
_atom_site_fract_y
_atom_site_fract_z
Na1 Na 0.0000 0.0000 0.0000
Ca1 Ca 0.2500 0.2500 0.2500
Pu1 Pu 0.2500 0.2500 0.7500
Sn1 Sn 0.0000 0.0000 0.5000
```

(6)
Below is an optimized crystal structure of LaTe2CN, with properties calculated at the PBE level.

Results
raw formation energy: 1702 meV per atom
VASP energy: -4.0500 eV/atom

```
data_LaTe2CN
_chemical_formula_sum 'La1 Te2 C1 N1'
_cell_length_a 6.4022
_cell_length_b 6.4022
_cell_length_c 3.9738
_cell_angle_alpha 90.00
_cell_angle_beta 90.00
_cell_angle_gamma 90.00
_symmetry_space_group_name_H-M 'P 4/m m m'
_symmetry_Int_Tables_number 123
_symmetry_space_group_name_Hall '-P 4 2'
loop_
_atom_site_label
_atom_site_type_symbol
_atom_site_fract_x
_atom_site_fract_y
_atom_site_fract_z
La1 La 0.0000 0.0000 0.0000
Te1 Te 0.0000 0.5000 0.0000
C1 C 0.5000 0.5000 0.5000
N1 N 0.0000 0.0000 0.5000
```

(7)
Below is an optimized crystal structure of BaSbRu2, with properties calculated at the PBE level.

Results
raw formation energy: 185 meV per atom
VASP energy: -5.9643 eV/atom

```
data_BaSbRu2
_chemical_formula_sum 'Ba1 Sb1 Ru2'
_cell_length_a 3.9721
_cell_length_b 4.2470
_cell_length_c 6.4493
_cell_angle_alpha 90.00
_cell_angle_beta 102.68
_cell_angle_gamma 90.00
_symmetry_space_group_name_H-M 'P 1 m 1'
_symmetry_Int_Tables_number 6
loop_
_symmetry_equiv_pos_as_xyz
'x,y,z'
'x,-y,z'
loop_
_atom_site_label
_atom_site_type_symbol
_atom_site_fract_x
_atom_site_fract_y
_atom_site_fract_z
Ba1 Ba 0.0000 0.0000 0.0000
Sb1 Sb 0.3579 0.5000 0.6650
Ru1 Ru 0.5252 0.0000 0.4473
Ru2 Ru 0.7860 0.5000 0.3908
```

(8)
Below is an optimized crystal structure of Ir4OsW5, with properties calculated at the PBE level.

Results
VASP energy: -11.3519 eV/atom

```
data_Ir4OsW5
_chemical_formula_sum 'Ir4 Os1 W5'
_cell_length_a 2.7837
_cell_length_b 2.7837
_cell_length_c 19.6371
_cell_angle_alpha 90.00
_cell_angle_beta 90.00
_cell_angle_gamma 90.00
_symmetry_space_group_name_H-M 'P 4/m m m'
_symmetry_Int_Tables_number 123
_symmetry_space_group_name_Hall '-P 4 2'
loop_
_atom_site_label
_atom_site_type_symbol
_atom_site_fract_x
_atom_site_fract_y
_atom_site_fract_z
Ir1 Ir 0.0000 0.0000 0.1000
Ir2 Ir 0.0000 0.0000 0.2995
Os1 Os 0.0000 0.0000 0.5000
W1 W 0.5000 0.5000 0.0000
W2 W 0.5000 0.5000 0.2003
W3 W 0.5000 0.5000 0.4012
```

(9)
Below is an optimized crystal structure of SmDy6Tm12, with properties calculated at the PBE level.

Results
VASP energy: -4.0749 eV/atom

```
data_SmDy6Tm12
_chemical_formula_sum 'Sm3 Dy18 Tm36'
_cell_length_a 14.7231
_cell_length_b 14.7231
_cell_length_c 10.2809
_cell_angle_alpha 90.00
_cell_angle_beta 90.00
_cell_angle_gamma 120.00
_symmetry_space_group_name_H-M 'R -3 m'
_symmetry_Int_Tables_number 166
_symmetry_space_group_name_Hall '-R 3 2"'
loop_
_atom_site_label
_atom_site_type_symbol
_atom_site_fract_x
_atom_site_fract_y
_atom_site_fract_z
Sm1 Sm 0.0000 0.0000 0.0000
Dy1 Dy 0.0665 0.5333 0.2205
Tm1 Tm 0.0000 0.3879 0.5000
Tm2 Tm 0.0774 0.1548 0.2641
```

(10)
Below is an optimized crystal structure of Ac8Pr2Ho3, with properties calculated at the PBE level.

Results
VASP energy: -4.2657 eV/atom

```
data_Ac8Pr2Ho3
_chemical_formula_sum 'Ac8 Pr2 Ho3'
_cell_length_a 6.6670
_cell_length_b 6.6864
_cell_length_c 12.1106
_cell_angle_alpha 90.17
_cell_angle_beta 100.68
_cell_angle_gamma 99.63
_symmetry_space_group_name_H-M 'P -1'
_symmetry_Int_Tables_number 2
loop_
_symmetry_equiv_pos_as_xyz
'x,y,z'
'-x,-y,-z'
loop_
_atom_site_label
_atom_site_type_symbol
_atom_site_fract_x
_atom_site_fract_y
_atom_site_fract_z
Ac1 Ac 0.0438 0.4142 0.1483
Ac2 Ac 0.1967 0.1187 0.7797
Ac3 Ac 0.3425 0.8066 0.3815
Ac4 Ac 0.4187 0.6566 0.6962
Pr1 Pr 0.1136 0.2666 0.4629
Ho1 Ho 0.2764 0.9606 0.0727
Ho2 Ho 0.5000 0.5000 0.0000
```

(11)
Below is an optimized crystal structure of Ba2ScCdP, with properties calculated at the PBE level.

Results
VASP energy: -2.8993 eV/atom

```
data_Ba2ScCdP
_chemical_formula_sum 'Ba2 Sc1 Cd1 P1'
_cell_length_a 6.6663
_cell_length_b 6.6663
_cell_length_c 4.7916
_cell_angle_alpha 90.00
_cell_angle_beta 90.00
_cell_angle_gamma 90.00
_symmetry_space_group_name_H-M 'P 4/m m m'
_symmetry_Int_Tables_number 123
_symmetry_space_group_name_Hall '-P 4 2'
loop_
_atom_site_label
_atom_site_type_symbol
_atom_site_fract_x
_atom_site_fract_y
_atom_site_fract_z
Ba1 Ba 0.0000 0.5000 0.0000
Sc1 Sc 0.0000 0.0000 0.5000
Cd1 Cd 0.5000 0.5000 0.0000
P1 P 0.5000 0.5000 0.5000
```

(12)
Below is an optimized crystal structure of PmHo2Tm3Te6, with properties calculated at the PBE level.

Results
raw formation energy: -1236 meV per atom
VASP energy: -5.0833 eV/atom

```
data_PmHo2Tm3Te6
_chemical_formula_sum 'Pm2 Ho4 Tm6 Te12'
_cell_length_a 19.0288
_cell_length_b 4.3065
_cell_length_c 8.7503
_cell_angle_alpha 90.00
_cell_angle_beta 104.48
_cell_angle_gamma 90.00
_symmetry_space_group_name_H-M 'C 1 2/m 1'
_symmetry_Int_Tables_number 12
loop_
_symmetry_equiv_pos_as_xyz
'x,y,z'
'-x,-y,-z'
'-x,y,-z'
'x,-y,z'
'x+1/2,y+1/2,z'
'-x+1/2,-y+1/2,-z'
'-x+1/2,y+1/2,-z'
'x+1/2,-y+1/2,z'
loop_
_atom_site_label
_atom_site_type_symbol
_atom_site_fract_x
_atom_site_fract_y
_atom_site_fract_z
Pm1 Pm 0.0000 0.0000 0.0000
Ho1 Ho 0.1631 0.5000 0.3260
Tm1 Tm 0.0000 0.0000 0.5000
Tm2 Tm 0.1622 0.5000 0.8307
Te1 Te 0.9998 0.5000 0.2599
Te2 Te 0.1676 0.0000 0.5834
Te3 Te 0.1721 0.0000 0.0814
```

no.,N(E_F) (states/eV per atom)
1,1.242
2,0.324
3,0.644
4,0.671
5,3.263
6,1.112
7,0.853
8,0.671
9,1.604
10,1.737
11,1.042
12,0.530